The following is a DFT calculation (PBE) of an optimized crystal structure of Ti2InAu6.

## Properties
energy of formation from the pure elements	-0.287	eV per atom
volume	161.9	Å³/cell
space-group type	C2/m (12)
magnetic moment	0.00	μB/atom
energy	-0.167	Ha/atom

abc: 7.930 7.930 4.973
angles: 98.85 98.85 143.53
Fractional positions:
Ti (0.164, 0.836, 0.000)
Ti (0.836, 0.164, 0.000)
In (0.000, 0.000, 0.500)
Au (0.169, 0.509, 0.674)
Au (0.329, 0.329, 0.168)
Au (0.491, 0.831, 0.326)
Au (0.509, 0.169, 0.674)
Au (0.671, 0.671, 0.832)
Au (0.831, 0.491, 0.326)

---

The following is a DFT calculation (PBE) of an optimized crystal structure of P2HIrAu.

## Properties
energy above the most stable polymorph in this dataset	51	meV per atom
volume	88.2	Å³/cell
space-group type	P1 (1)
magnetic moment	0.00	μB/atom
energy	-0.196	Ha/atom

abc: 3.842 4.807 5.571
angles: 114.73 107.43 90.05
Fractional positions:
P (0.000, 0.000, 0.000)
P (0.040, 0.486, 0.101)
H (0.722, 0.059, 0.360)
Ir (0.530, 0.760, 0.072)
Au (0.509, 0.729, 0.557)

---

The following is a DFT calculation (PBE) of an optimized crystal structure of Dy4Cd5Pd2.

## Properties
energy of formation from the pure elements	-0.503	eV per atom
volume	267.2	Å³/cell
space-group type	P2/m (10)
magnetic moment	0.00	μB/atom
energy	-0.130	Ha/atom

abc: 7.678 3.577 9.750
angles: 90.00 93.74 90.00
Fractional positions:
Dy (0.167, 0.000, 0.357)
Dy (0.232, 0.000, 0.946)
Dy (0.768, 0.000, 0.054)
Dy (0.833, 0.000, 0.643)
Cd (0.188, 0.500, 0.651)
Cd (0.451, 0.500, 0.184)
Cd (0.500, 0.500, 0.500)
Cd (0.549, 0.500, 0.816)
Cd (0.812, 0.500, 0.349)
Pd (0.067, 0.500, 0.139)
Pd (0.933, 0.500, 0.861)

---

The following is a DFT calculation (PBE) of an optimized crystal structure of Ce4CrGe8.

## Properties
energy of formation from the pure elements	-0.525	eV per atom
volume	282.3	Å³/cell
space-group type	Pmm2 (25)
magnetic moment	0.28	μB/atom
energy	-0.218	Ha/atom

abc: 4.078 4.217 16.419
angles: 90.00 90.00 90.00
Fractional positions:
Ce (0.000, 0.000, 0.000)
Ce (0.000, 0.500, 0.489)
Ce (0.500, 0.000, 0.784)
Ce (0.500, 0.500, 0.281)
Cr (0.000, 0.500, 0.704)
Ge (0.000, 0.000, 0.332)
Ge (0.000, 0.000, 0.623)
Ge (0.000, 0.500, 0.140)
Ge (0.000, 0.500, 0.853)
Ge (0.500, 0.000, 0.142)
Ge (0.500, 0.000, 0.434)
Ge (0.500, 0.500, 0.621)
Ge (0.500, 0.500, 0.951)

---

The following is a DFT calculation (PBE) of an optimized crystal structure of AcHo5Au6.

## Properties
energy of formation from the pure elements	-0.830	eV per atom
volume	290.5	Å³/cell
space-group type	P2/m (10)
magnetic moment	0.00	μB/atom
energy	-0.173	Ha/atom

abc: 5.145 7.245 8.198
angles: 90.00 108.03 90.00
Fractional positions:
Ac (0.000, 0.000, 0.000)
Ho (0.000, 0.500, 0.000)
Ho (0.330, 0.000, 0.660)
Ho (0.335, 0.500, 0.670)
Ho (0.665, 0.500, 0.330)
Ho (0.670, 0.000, 0.340)
Au (0.176, 0.259, 0.351)
Au (0.176, 0.741, 0.351)
Au (0.500, 0.275, 0.000)
Au (0.500, 0.725, 0.000)
Au (0.824, 0.259, 0.649)
Au (0.824, 0.741, 0.649)

---

The following is a DFT calculation (PBE) of an optimized crystal structure of Co4Ni2Ir3.

## Properties
energy of formation from the pure elements	0.037	eV per atom
volume	110.5	Å³/cell
space-group type	C2/m (12)
magnetic moment	0.88	μB/atom
energy	-0.270	Ha/atom

abc: 5.713 5.713 5.857
angles: 107.61 107.61 37.59
Fractional positions:
Co (0.114, 0.114, 0.175)
Co (0.326, 0.326, 0.495)
Co (0.674, 0.674, 0.505)
Co (0.886, 0.886, 0.825)
Ni (0.225, 0.225, 0.833)
Ni (0.775, 0.775, 0.167)
Ir (0.000, 0.000, 0.500)
Ir (0.444, 0.444, 0.163)
Ir (0.556, 0.556, 0.837)

---

The following is a DFT calculation (PBE) of an optimized crystal structure of Ac2SnPd.

## Properties
energy of formation from the pure elements	-0.722	eV per atom
volume	260.5	Å³/cell
space-group type	P2_1/m (11)
magnetic moment	0.00	μB/atom
energy	-0.187	Ha/atom

abc: 6.608 4.627 9.133
angles: 90.00 111.12 90.00
Fractional positions:
Ac (0.182, 0.250, 0.408)
Ac (0.277, 0.750, 0.054)
Ac (0.723, 0.250, 0.946)
Ac (0.818, 0.750, 0.592)
Sn (0.373, 0.750, 0.706)
Sn (0.627, 0.250, 0.294)
Pd (0.139, 0.250, 0.793)
Pd (0.861, 0.750, 0.207)

---

The following is a DFT calculation (PBE) of an optimized crystal structure of CsNaZn2In.

## Properties
energy of formation from the pure elements	0.108	eV per atom
volume	178.8	Å³/cell
space-group type	P4/mmm (123)
magnetic moment	0.00	μB/atom
energy	-0.051	Ha/atom

abc: 5.463 5.463 5.991
angles: 90.00 90.00 90.00
Fractional positions:
Cs (0.000, 0.000, 0.000)
Na (0.500, 0.500, 0.000)
Zn (0.000, 0.500, 0.500)
Zn (0.500, 0.000, 0.500)
In (0.500, 0.500, 0.500)

---

The lowest volume belongs to which entry? P2HIrAu

---

What did the second record say?
The following is a DFT calculation (PBE) of an optimized crystal structure of P2HIrAu.

## Properties
energy above the most stable polymorph in this dataset	51	meV per atom
volume	88.2	Å³/cell
space-group type	P1 (1)
magnetic moment	0.00	μB/atom
energy	-0.196	Ha/atom

abc: 3.842 4.807 5.571
angles: 114.73 107.43 90.05
Fractional positions:
P (0.000, 0.000, 0.000)
P (0.040, 0.486, 0.101)
H (0.722, 0.059, 0.360)
Ir (0.530, 0.760, 0.072)
Au (0.509, 0.729, 0.557)

---

The lowest volume belongs to which entry? P2HIrAu